First-principles (PBE) data for a relaxed YScAl2Ge crystal, as listed in the Alexandria database.

Properties
Density in g cm⁻³: 2.87
Electronic total energy in eV/atom: -3.8008
Crystal system: tetragonal
Magnetic moment in μB/cell: 0.0

Cell lengths 5.3803, 5.3803, 5.2072 Å; angles 90.00, 90.00, 90.00 degrees
With the nearest neighbours (Å) after each atom.
Space group P4/mmm (No. 123)
Inequivalent atoms, fractional coordinates:
Y  0.0000  0.0000  0.0000 x1  2 Sc 2.60, 4 Al 2.69
Sc  0.0000  0.0000  0.5000 x1  2 Y 2.60
Al  0.0000  0.5000  0.0000 x2  2 Y 2.69
Ge  0.5000  0.5000  0.5000 x1  8 Al 3.74, 4 Sc 3.80